GGA-PBE CuGe, relaxed; symmetry = P2_12_12_1; crystal system = orthorhombic; density of states at the Fermi level = 5.79 states/eV per cell; E_form = 0.31 eV/f.u.
1.0
4.9441 0.0000 0.0000
0.0000 5.9464 0.0000
0.0000 0.0000 8.5555
Cu Ge
8 8
direct
0.2303 0.4637 0.5898 Cu
0.7697 0.9637 0.9102 Cu
0.0227 0.9358 0.1751 Cu
0.9773 0.4358 0.3249 Cu
0.2697 0.5363 0.0898 Cu
0.7303 0.0363 0.4102 Cu
0.4773 0.0642 0.6751 Cu
0.5227 0.5642 0.8249 Cu
0.2664 0.9093 0.9179 Ge
0.0423 0.3367 0.8559 Ge
0.9577 0.8367 0.6441 Ge
0.5423 0.1633 0.1441 Ge
0.7664 0.5907 0.0821 Ge
0.4577 0.6633 0.3559 Ge
0.7336 0.4093 0.5821 Ge
0.2336 0.0907 0.4179 Ge